Record 1
{"formula": "CsCaPrO3", "functional": "PBE", "state": "relaxed", "cell": [[-0.5364, -2.9442, 2.1550], [-0.0459, -4.8991, -6.7046], [9.9929, -0.7291, 1.4913]], "species": ["Pr", "O", "O", "Pr", "O", "O", "Ca", "Ca", "O", "Cs", "O", "Cs"], "fractional_positions": [[0.7500, 0.3960, 0.8671], [0.2500, 0.8689, 0.5596], [0.7500, 0.7564, 0.2165], [0.2500, 0.6040, 0.1329], [0.2500, 0.5966, 0.9097], [0.2500, 0.2436, 0.7835], [0.2500, 0.1447, 0.5650], [0.7500, 0.8553, 0.4350], [0.7500, 0.4034, 0.0903], [0.2500, 0.1315, 0.2018], [0.7500, 0.1311, 0.4404], [0.7500, 0.8685, 0.7982]], "magnetic_moment_mub_per_atom": 0.01, "volume_a3_per_atom": 25.76, "space_group": "P2_1/m", "e_tot_ev_per_cell": -74.7, "raw_formation_energy_ev_per_atom": -2.47}



Record 2
{"formula": "CsNa2SrHg", "functional": "PBE", "state": "relaxed", "cell": [[-0.0703, 5.3667, -3.2921], [-6.3203, -0.2939, -0.3441], [-0.4442, 3.2799, 5.3563]], "species": ["Sr", "Na", "Na", "Hg", "Cs"], "fractional_positions": [[0.0000, 0.5000, 0.0000], [0.5000, 0.0000, 0.0000], [0.0000, 0.0000, 0.5000], [0.0000, 0.0000, 0.0000], [0.5000, 0.5000, 0.5000]], "magnetic_moment_mub_per_atom": 0.00, "e_form_mev_per_atom": -66, "volume_a3_per_atom": 50.24, "space_group": "P4/mmm", "e_tot_ev_per_cell": -5.8}



Record 3
{"formula": "MoOs3Ru2", "functional": "PBE", "state": "relaxed", "cell": [[0.0492, 1.2208, 2.4582], [-6.1176, -4.8556, -0.5362], [7.4218, -4.8682, 2.2746]], "species": ["Os", "Ru", "Ru", "Mo", "Os", "Os", "Os", "Ru", "Os", "Mo", "Ru", "Os"], "fractional_positions": [[0.4325, 0.6824, 0.3427], [0.6290, 0.3799, 0.3766], [0.8750, 0.1247, 0.1228], [0.1815, 0.9305, 0.6007], [0.6841, 0.4339, 0.0960], [0.5675, 0.3176, 0.6573], [0.0652, 0.8144, 0.1520], [0.1250, 0.8753, 0.8772], [0.3159, 0.5661, 0.9040], [0.8185, 0.0695, 0.3993], [0.3710, 0.6201, 0.6234], [0.9348, 0.1856, 0.8480]], "magnetic_moment_mub_per_atom": 0.00, "e_form_mev_per_atom": 25, "volume_a3_per_atom": 14.44, "space_group": "P-1", "e_tot_ev_per_cell": -125.8}